(1)
DFT (PBE-GGA) results for ErTiAlHg after structural relaxation.

```
ErTiAlHg
1.0
-3.512 1.014 -3.293
-2.608 -3.651 -2.019
-4.736 -0.592 1.193
Hg Al Ti Er
1 1 1 1
Direct
0.000 0.000 0.000 Hg
0.500 0.500 0.500 Al
0.250 0.250 0.250 Ti
0.750 0.750 0.750 Er
```

Results
Formation enthalpy at 0 K, meV/atom: -168
DOS(E_F), states/eV per atom: 1.17
Energy, Ry/atom: -0.316



(2)
DFT (PBE-GGA) results for ErTmAlHg after structural relaxation.

```
ErTmAlHg
1.0
5.149 0.000 0.000
2.575 4.459 0.000
2.575 1.486 4.204
Al Tm Hg Er
1 1 1 1
Direct
0.250 0.250 0.250 Al
0.500 0.500 0.500 Tm
0.750 0.750 0.750 Hg
0.000 0.000 0.000 Er
```

Results
Formation enthalpy at 0 K, meV/atom: -393
E above lowest polymorph, meV/atom: 33
DOS(E_F), states/eV per atom: 1.04
Energy, Ry/atom: -0.269